Entry from the Alexandria database: crystalline Zn3CoGe at its relaxed geometry (GGA-PBE).

Results
Its calculated volume is 93.84 Å³/f.u. As for the space group: Pm-3m (221). The energy relative to the lowest polymorph listed for this composition comes out at 0.000 eV per atom. The formation energy from the elements is 0.498 eV per atom. The raw total energy comes out at -2.6115 eV/atom.

a = 4.5443 Å, b = 4.5443 Å, c = 4.5443 Å
α = 90.00°, β = 90.00°, γ = 90.00°
With the nearest neighbours (Å) after each atom.
Atoms (fractional coordinates):
Zn  0.0000  0.0000  0.5000  2 Co 2.27
Zn  0.0000  0.5000  0.0000  2 Co 2.27
Zn  0.5000  0.0000  0.0000  2 Co 2.27
Co  0.0000  0.0000  0.0000  6 Zn 2.27
Ge  0.5000  0.5000  0.5000  12 Zn 3.21


Entry from the Alexandria database: crystalline Zn2CoGe at its relaxed geometry (GGA-PBE).

Results
Its calculated volume is 67.98 Å³/f.u. As for the space group: I-42d (122). The formation energy from the elements is 0.261 eV per atom. The raw total energy comes out at -3.3064 eV/atom.

a = 7.7431 Å, b = 7.7431 Å, c = 4.5352 Å
α = 90.00°, β = 90.00°, γ = 90.00°
With the nearest neighbours (Å) after each atom.
Atoms (fractional coordinates):
Zn  0.1669  0.2500  0.1250  2 Co 2.40, 2 Zn 2.61
Zn  0.2500  0.6669  0.3750  2 Co 2.40, 2 Zn 2.61
Zn  0.2500  0.8331  0.8750  2 Co 2.40, 2 Zn 2.61
Zn  0.3331  0.2500  0.6250  2 Co 2.40, 2 Zn 2.61
Zn  0.6669  0.7500  0.6250  2 Co 2.40, 2 Zn 2.61
Zn  0.7500  0.1669  0.8750  2 Co 2.40, 2 Zn 2.61
Zn  0.7500  0.3331  0.3750  2 Co 2.40, 2 Zn 2.61
Zn  0.8331  0.7500  0.1250  2 Co 2.40, 2 Zn 2.61
Co  0.0000  0.0000  0.0000  2 Ge 2.27, 4 Zn 2.40
Co  0.0000  0.5000  0.2500  2 Ge 2.27, 4 Zn 2.40
Co  0.5000  0.0000  0.7500  2 Ge 2.27, 4 Zn 2.40
Co  0.5000  0.5000  0.5000  2 Ge 2.27, 4 Zn 2.40
Ge  0.0000  0.0000  0.5000  2 Co 2.27
Ge  0.0000  0.5000  0.7500  2 Co 2.27
Ge  0.5000  0.0000  0.2500  2 Co 2.27
Ge  0.5000  0.5000  0.0000  2 Co 2.27


Entry from the Alexandria database: crystalline ZnCoGe3 at its relaxed geometry (GGA-PBE).

Results
Its calculated volume is 95.27 Å³/f.u. As for the space group: Pm-3m (221). The energy relative to the lowest polymorph listed for this composition comes out at 0.000 eV per atom. The formation energy from the elements is 0.245 eV per atom. The raw total energy comes out at -4.2011 eV/atom.

a = 4.5671 Å, b = 4.5671 Å, c = 4.5671 Å
α = 90.00°, β = 90.00°, γ = 90.00°
With the nearest neighbours (Å) after each atom.
Atoms (fractional coordinates):
Zn  0.0000  0.0000  0.0000  12 Ge 3.23
Co  0.5000  0.5000  0.5000  6 Ge 2.28
Ge  0.0000  0.5000  0.5000  2 Co 2.28
Ge  0.5000  0.0000  0.5000  2 Co 2.28
Ge  0.5000  0.5000  0.0000  2 Co 2.28


Entry from the Alexandria database: crystalline ZnCoGe at its relaxed geometry (GGA-PBE).

Results
Its calculated volume is 45.15 Å³/f.u. As for the space group: Pmmm (47). The formation energy from the elements is -0.097 eV per atom. The raw total energy comes out at -4.4291 eV/atom.

a = 2.6640 Å, b = 3.9385 Å, c = 4.3030 Å
α = 90.00°, β = 90.00°, γ = 90.00°
With the nearest neighbours (Å) after each atom.
Atoms (fractional coordinates):
Zn  0.0000  0.0000  0.0000  4 Co 2.53, 2 Zn 2.66
Co  0.5000  0.0000  0.5000  4 Ge 2.38, 4 Zn 2.53
Ge  0.0000  0.5000  0.5000  4 Co 2.38


Entry from the Alexandria database: crystalline ZnCo3Ge3 at its relaxed geometry (GGA-PBE).

Results
Its calculated volume is 94.32 Å³/f.u. As for the space group: R3m (160). The formation energy from the elements is -0.045 eV per atom. The raw total energy comes out at -5.2511 eV/atom.

a = 5.0105 Å, b = 5.0105 Å, c = 5.0105 Å
α = 110.15°, β = 110.15°, γ = 110.15°
With the nearest neighbours (Å) after each atom.
Atoms (fractional coordinates):
Zn  0.0000  0.0000  0.0000  6 Co 2.50-2.51
Co  0.4991  0.9989  0.9989  6 Ge 2.42-2.51, 2 Zn 2.50-2.51
Co  0.9989  0.4991  0.9989  6 Ge 2.42-2.51, 2 Zn 2.50-2.51
Co  0.9989  0.9989  0.4991  6 Ge 2.42-2.51, 2 Zn 2.50-2.51
Ge  0.4990  0.4990  0.9988  6 Co 2.42-2.51
Ge  0.4990  0.9988  0.4990  6 Co 2.42-2.51
Ge  0.9988  0.4990  0.4990  6 Co 2.42-2.51


Entry from the Alexandria database: crystalline ZnCo3Ge4 at its relaxed geometry (GGA-PBE).

Results
Its calculated volume is 118.58 Å³/f.u. As for the space group: P4/mmm (123). The formation energy from the elements is 0.057 eV per atom. The raw total energy comes out at -5.0752 eV/atom.

a = 3.7840 Å, b = 3.7840 Å, c = 8.2816 Å
α = 90.00°, β = 90.00°, γ = 90.00°
With the nearest neighbours (Å) after each atom.
Atoms (fractional coordinates):
Zn  0.0000  0.0000  0.0000  8 Co 2.91, 8 Ge 3.24
Co  0.0000  0.0000  0.5000  8 Ge 2.42
Co  0.5000  0.5000  0.1390  1 Co 2.30, 4 Ge 2.40
Co  0.5000  0.5000  0.8610  1 Co 2.30, 4 Ge 2.40
Ge  0.0000  0.5000  0.3177  4 Co 2.40-2.42, 4 Ge 2.68
Ge  0.0000  0.5000  0.6823  4 Co 2.40-2.42, 4 Ge 2.68
Ge  0.5000  0.0000  0.3177  4 Co 2.40-2.42, 4 Ge 2.68
Ge  0.5000  0.0000  0.6823  4 Co 2.40-2.42, 4 Ge 2.68


Entry from the Alexandria database: crystalline ZnCo2Ge at its relaxed geometry (GGA-PBE).

Results
Its calculated volume is 54.47 Å³/f.u. As for the space group: R3m (160). The energy relative to the lowest polymorph listed for this composition comes out at 0.251 eV per atom. The formation energy from the elements is 0.112 eV per atom. The raw total energy comes out at -4.9134 eV/atom.

a = 3.9548 Å, b = 3.9548 Å, c = 12.0639 Å
α = 90.00°, β = 90.00°, γ = 120.00°
With the nearest neighbours (Å) after each atom.
Atoms (fractional coordinates):
Zn  0.0000  0.0000  0.0000  1 Ge 2.44, 7 Co 2.54-2.70
Zn  0.3333  0.6667  0.6667  1 Ge 2.44, 7 Co 2.54-2.70
Zn  0.6667  0.3333  0.3333  1 Ge 2.44, 7 Co 2.54-2.70
Co  0.0000  0.0000  0.5738  3 Ge 2.33, 3 Zn 2.54, 1 Co 2.55
Co  0.0000  0.0000  0.7855  3 Ge 2.49, 4 Co 2.55-2.71, 4 Zn 2.59-2.70
Co  0.3333  0.6667  0.2405  3 Ge 2.33, 3 Zn 2.54, 1 Co 2.55
Co  0.3333  0.6667  0.4521  3 Ge 2.49, 4 Co 2.55-2.71, 4 Zn 2.59-2.70
Co  0.6667  0.3333  0.1188  3 Ge 2.49, 4 Co 2.55-2.71, 4 Zn 2.59-2.70
Co  0.6667  0.3333  0.9071  3 Ge 2.33, 3 Zn 2.54, 1 Co 2.55
Ge  0.0000  0.0000  0.2018  6 Co 2.33-2.49, 1 Zn 2.44
Ge  0.3333  0.6667  0.8685  6 Co 2.33-2.49, 1 Zn 2.44
Ge  0.6667  0.3333  0.5352  6 Co 2.33-2.49, 1 Zn 2.44


Entry from the Alexandria database: crystalline ZnCoGe at its relaxed geometry (GGA-PBE).

Results
Its calculated volume is 44.67 Å³/f.u. As for the space group: F-43m (216). The formation energy from the elements is -0.030 eV per atom. The raw total energy comes out at -4.3621 eV/atom.

a = 5.6326 Å, b = 5.6326 Å, c = 5.6326 Å
α = 90.00°, β = 90.00°, γ = 90.00°
With the nearest neighbours (Å) after each atom.
Atoms (fractional coordinates):
Zn  0.0000  0.0000  0.0000  4 Co 2.44
Zn  0.0000  0.5000  0.5000  4 Co 2.44
Zn  0.5000  0.0000  0.5000  4 Co 2.44
Zn  0.5000  0.5000  0.0000  4 Co 2.44
Co  0.2500  0.2500  0.7500  4 Zn 2.44, 4 Ge 2.44
Co  0.2500  0.7500  0.2500  4 Zn 2.44, 4 Ge 2.44
Co  0.7500  0.2500  0.2500  4 Zn 2.44, 4 Ge 2.44
Co  0.7500  0.7500  0.7500  4 Ge 2.44, 4 Zn 2.44
Ge  0.0000  0.0000  0.5000  4 Co 2.44
Ge  0.0000  0.5000  0.0000  4 Co 2.44
Ge  0.5000  0.0000  0.0000  4 Co 2.44
Ge  0.5000  0.5000  0.5000  4 Co 2.44


Which of these has the highest calculated volume?
ZnCo3Ge4


Which value of raw total energy does entry 6 give?
-5.0752 eV/atom


Among the records above, which one has the lowest calculated volume?
number 8


Number 3 is which compound?
ZnCoGe3